The following is a GGA-PBE calculation of a relaxed structure of Ba7Sr2Li2, from the Alexandria database.

Calculated values
Space group: C2/m (12)
Calculated formation energy (eV per atom): 0.052

Cell: 7.271 7.271 13.547 Å, 81.67 81.67 116.94°
Sites, in units of the cell vectors:
1 Li 0.708 0.708 0.591
2 Ba 0.838 0.838 0.317
3 Sr 0.750 0.250 0.500
4 Ba 0.240 0.581 0.173
5 Sr 0.250 0.750 0.500
6 Ba 0.581 0.240 0.173
7 Ba 0.760 0.419 0.827
8 Ba 0.000 0.000 0.000
9 Li 0.292 0.292 0.409
10 Ba 0.419 0.760 0.827
11 Ba 0.162 0.162 0.683